(1)
Here is PrNdSc4 after structural relaxation from Alexandria via LeMat-Bulk. Energies are from PBE-GGA.

For the energy above the most stable polymorph in this dataset, the calculation gives 0 meV/atom. As for the magnetization: 0.00 μB/cell. Its space group is Cmcm.

a b c (Å): 9.939 9.939 5.409
angles (deg): 90.00 90.00 141.03
Atoms (fractional coordinates):
1 Pr 0.125 0.875 0.750
2 Pr 0.875 0.125 0.250
3 Nd 0.375 0.625 0.250
4 Nd 0.625 0.375 0.750
5 Sc 0.042 0.459 0.750
6 Sc 0.209 0.293 0.750
7 Sc 0.293 0.209 0.250
8 Sc 0.459 0.042 0.250
9 Sc 0.541 0.958 0.750
10 Sc 0.707 0.791 0.750
11 Sc 0.791 0.707 0.250
12 Sc 0.958 0.541 0.250

---

(2)
Here is Pr6Nd5Sc2 after structural relaxation from Alexandria via LeMat-Bulk. Energies are from PBE-GGA.

As for the magnetization: 0.00 μB/cell. Its space group is Pbam.

a b c (Å): 10.967 23.086 3.556
angles (deg): 90.00 90.00 90.00
Atoms (fractional coordinates):
1 Pr 0.023 0.114 0.000
2 Pr 0.143 0.383 0.000
3 Pr 0.166 0.639 0.500
4 Pr 0.334 0.139 0.500
5 Pr 0.357 0.883 0.000
6 Pr 0.477 0.614 0.000
7 Pr 0.523 0.386 0.000
8 Pr 0.643 0.117 0.000
9 Pr 0.666 0.861 0.500
10 Pr 0.834 0.361 0.500
11 Pr 0.857 0.617 0.000
12 Pr 0.977 0.886 0.000
13 Nd 0.000 0.500 0.500
14 Nd 0.084 0.249 0.500
15 Nd 0.167 0.996 0.500
16 Nd 0.333 0.496 0.500
17 Nd 0.416 0.749 0.500
18 Nd 0.500 0.000 0.500
19 Nd 0.584 0.251 0.500
20 Nd 0.667 0.504 0.500
21 Nd 0.833 0.004 0.500
22 Nd 0.916 0.751 0.500
23 Sc 0.167 0.769 0.000
24 Sc 0.333 0.269 0.000
25 Sc 0.667 0.731 0.000
26 Sc 0.833 0.231 0.000

---

(3)
Here is Pr7Nd2Sc2 after structural relaxation from Alexandria via LeMat-Bulk. Energies are from PBE-GGA.

For the energy above the most stable polymorph in this dataset, the calculation gives 0 meV/atom. As for the magnetization: 0.00 μB/cell. Its space group is P-1.

a b c (Å): 6.589 6.745 8.688
angles (deg): 98.29 94.00 97.54
Atoms (fractional coordinates):
1 Pr 0.000 0.000 0.000
2 Pr 0.059 0.370 0.331
3 Pr 0.362 0.311 0.649
4 Pr 0.474 0.860 0.773
5 Pr 0.526 0.140 0.227
6 Pr 0.638 0.689 0.351
7 Pr 0.941 0.630 0.669
8 Nd 0.262 0.570 0.037
9 Nd 0.738 0.430 0.963
10 Sc 0.161 0.886 0.392
11 Sc 0.839 0.114 0.608

---

(4)
Here is PrNd6Sc2 after structural relaxation from Alexandria via LeMat-Bulk. Energies are from PBE-GGA.

For the energy above the most stable polymorph in this dataset, the calculation gives 437 meV/atom. As for the magnetization: 0.00 μB/cell. Its space group is P4_2/mnm.

a b c (Å): 8.102 8.102 10.444
angles (deg): 90.00 90.00 90.00
Atoms (fractional coordinates):
1 Pr 0.000 0.000 0.000
2 Pr 0.500 0.500 0.500
3 Nd 0.231 0.231 0.500
4 Nd 0.243 0.243 0.170
5 Nd 0.243 0.243 0.830
6 Nd 0.257 0.743 0.330
7 Nd 0.257 0.743 0.670
8 Nd 0.269 0.731 0.000
9 Nd 0.731 0.269 0.000
10 Nd 0.743 0.257 0.330
11 Nd 0.743 0.257 0.670
12 Nd 0.757 0.757 0.170
13 Nd 0.757 0.757 0.830
14 Nd 0.769 0.769 0.500
15 Sc 0.000 0.000 0.337
16 Sc 0.000 0.000 0.663
17 Sc 0.500 0.500 0.163
18 Sc 0.500 0.500 0.837

---

(5)
Here is Pr5Nd12Sc2 after structural relaxation from Alexandria via LeMat-Bulk. Energies are from PBE-GGA.

For the energy above the most stable polymorph in this dataset, the calculation gives 26 meV/atom. As for the magnetization: 0.00 μB/cell. Its space group is C2/m.

a b c (Å): 10.122 10.122 9.578
angles (deg): 110.41 110.41 46.94
Atoms (fractional coordinates):
1 Pr 0.000 0.000 0.000
2 Pr 0.227 0.227 0.723
3 Pr 0.309 0.309 0.304
4 Pr 0.691 0.691 0.696
5 Pr 0.773 0.773 0.277
6 Nd 0.037 0.037 0.677
7 Nd 0.073 0.633 0.627
8 Nd 0.094 0.604 0.025
9 Nd 0.367 0.927 0.373
10 Nd 0.396 0.906 0.975
11 Nd 0.479 0.479 0.820
12 Nd 0.521 0.521 0.180
13 Nd 0.604 0.094 0.025
14 Nd 0.633 0.073 0.627
15 Nd 0.906 0.396 0.975
16 Nd 0.927 0.367 0.373
17 Nd 0.963 0.963 0.323
18 Sc 0.331 0.669 0.500
19 Sc 0.669 0.331 0.500

---

(6)
Here is Pr3Nd8Sc after structural relaxation from Alexandria via LeMat-Bulk. Energies are from PBE-GGA.

As for the magnetization: 0.00 μB/cell. Its space group is I-42m.

a b c (Å): 8.536 8.536 8.536
angles (deg): 117.71 117.71 94.02
Atoms (fractional coordinates):
1 Pr 0.000 0.000 0.000
2 Pr 0.250 0.750 0.500
3 Pr 0.750 0.250 0.500
4 Nd 0.132 0.132 0.750
5 Nd 0.243 0.721 0.000
6 Nd 0.279 0.279 0.522
7 Nd 0.382 0.382 0.250
8 Nd 0.618 0.868 0.000
9 Nd 0.721 0.243 0.000
10 Nd 0.757 0.757 0.478
11 Nd 0.868 0.618 0.000
12 Sc 0.500 0.500 0.000

---

The calculation returns the following energy of formation values, one per record and in order: 0.084 0.136 0.109 0.561 0.170 0.511 eV per atom.